Below is a crystal of Ru5W relaxed with PBEsol, with properties calculated at the SCAN level.

Unit cell a=4.2948 b=7.1820 c=7.1820 alpha=21.82 beta=90.00 gamma=90.00
Element x y z (fractional)
Ru 0.0000 0.0000 0.0000
Ru 0.0000 0.3317 0.3317
Ru 0.0000 0.6654 0.6654
Ru 0.5000 0.1135 0.1135
Ru 0.5000 0.7761 0.7761
W 0.5000 0.4428 0.4428

The symmetry is Amm2, No. 38. For the formation energy, the calculation gives -0.005 eV/atom. The calculation puts the final energy at -40.641 eV per atom. The energy relative to the lowest polymorph listed for this composition is 32 meV per atom.